Below is a geometry-optimized TeAsW3 structure, with properties calculated at the PBE level.

Calculated values
DOS(E_F) in states/eV/atom: 1.571
Magnetization in μB/cell: 0.0
Density in g cm⁻³: 12.1
Symmetry: Pm-3m (221)
Excess energy over the best structure of this formula in the dataset in meV per atom: 0
Final energy in eV/atom: -7.685

a b c (Å): 4.6911 4.6911 4.6911
angles (deg): 90.00 90.00 90.00
Closest atoms and distances in Å follow each position.
Fractional coordinates of all 5 atoms:
Te 0.0000 0.0000 0.0000  12 W 3.32
As 0.5000 0.5000 0.5000  6 W 2.35
W 0.0000 0.5000 0.5000  2 As 2.35
W 0.5000 0.0000 0.5000  2 As 2.35
W 0.5000 0.5000 0.0000  2 As 2.35